[1]
Density functional theory data (PBE) for PmPdPtPb after structural relaxation.

The structure in extended XYZ format:
```
4
Lattice="4.275 0.000 0.000 0.000 1.985 5.370 0.000 -1.985 5.370" Properties=species:S:1:pos:R:3 pbc="T T T"
Pm 0.000 0.000 0.000
Pd 0.000 0.000 7.774
Pt 2.137 0.000 5.940
Pb 2.137 0.000 3.032
```

Calculated formation energy ... -265 kJ/mol of formula units
Symmetry ... Amm2, No. 38



[2]
Density functional theory data (PBE) for PmPdPtPb after structural relaxation.

The structure in extended XYZ format:
```
4
Lattice="0.000 3.505 3.505 3.505 0.000 3.505 3.505 3.505 0.000" Properties=species:S:1:pos:R:3 pbc="T T T"
Pm 0.000 0.000 0.000
Pd 1.752 1.752 1.752
Pt 5.257 5.257 5.257
Pb 3.505 3.505 3.505
```

Calculated formation energy ... -263 kJ/mol of formula units
Symmetry ... F-43m, No. 216



[3]
Density functional theory data (PBE) for PmPuPdPb after structural relaxation.

The structure in extended XYZ format:
```
4
Lattice="0.000 3.753 3.753 3.753 0.000 3.753 3.753 3.753 0.000" Properties=species:S:1:pos:R:3 pbc="T T T"
Pm 0.000 0.000 0.000
Pu 3.753 3.753 3.753
Pd 5.629 5.629 5.629
Pb 1.876 1.876 1.876
```

Calculated formation energy ... -131 kJ/mol of formula units
Symmetry ... F-43m, No. 216



[4]
Density functional theory data (PBE) for PmSbPdPb after structural relaxation.

The structure in extended XYZ format:
```
4
Lattice="0.000 3.716 3.716 3.716 0.000 3.716 3.716 3.716 0.000" Properties=species:S:1:pos:R:3 pbc="T T T"
Pm 0.000 0.000 0.000
Sb 5.574 5.574 5.574
Pd 1.858 1.858 1.858
Pb 3.716 3.716 3.716
```

Formation energy without anion corrections ... -0.45 eV/atom
Symmetry ... F-43m, No. 216



[5]
Density functional theory data (PBE) for PmSb2Pd7Pb2 after structural relaxation.

The structure in extended XYZ format:
```
12
Lattice="2.915 -2.911 0.000 2.915 2.911 0.000 -1.464 0.000 15.271" Properties=species:S:1:pos:R:3 pbc="T T T"
Pm 0.000 0.000 0.000
Sb 1.436 0.000 11.449
Sb 2.930 0.000 3.822
Pd 1.468 1.453 2.159
Pd 1.403 0.000 8.800
Pd 2.898 1.453 13.112
Pd 2.915 0.000 0.000
Pd 1.468 -1.453 2.159
Pd 2.963 0.000 6.471
Pd 2.898 -1.453 13.112
Pb 0.116 0.000 6.149
Pb 4.250 0.000 9.122
```

Formation energy without anion corrections ... -0.44 eV/atom
Symmetry ... C2/m, No. 12



[6]
Density functional theory data (PBE) for Pm2SnPd6Pb after structural relaxation.

The structure in extended XYZ format:
```
10
Lattice="6.055 -2.795 0.000 6.055 2.795 0.000 -5.104 0.000 6.133" Properties=species:S:1:pos:R:3 pbc="T T T"
Pm -1.255 0.000 1.550
Pm 8.261 0.000 4.584
Sn 6.055 0.000 0.000
Pd -0.432 1.393 4.251
Pd 3.423 0.000 0.335
Pd 7.438 1.393 1.882
Pd -0.432 -1.393 4.251
Pd 3.582 0.000 5.798
Pd 7.438 -1.393 1.882
Pb 3.503 0.000 3.067
```

Calculated formation energy ... -551 kJ/mol of formula units
Symmetry ... C2/m, No. 12



[7]
Density functional theory data (PBE) for SrPmPdPb after structural relaxation.

The structure in extended XYZ format:
```
4
Lattice="0.000 3.840 3.840 3.840 0.000 3.840 3.840 3.840 0.000" Properties=species:S:1:pos:R:3 pbc="T T T"
Sr 0.000 0.000 0.000
Pm 3.840 3.840 3.840
Pd 1.920 1.920 1.920
Pb 5.760 5.760 5.760
```

Calculated formation energy ... -198 kJ/mol of formula units
Symmetry ... F-43m, No. 216



[8]
Density functional theory data (PBE) for TbPmPdPb after structural relaxation.

The structure in extended XYZ format:
```
4
Lattice="0.000 3.738 3.738 3.738 0.000 3.738 3.738 3.738 0.000" Properties=species:S:1:pos:R:3 pbc="T T T"
Tb 0.000 0.000 0.000
Pm 3.738 3.738 3.738
Pd 1.869 1.869 1.869
Pb 5.608 5.608 5.608
```

Calculated formation energy ... -231 kJ/mol of formula units
Symmetry ... F-43m, No. 216



[9]
Density functional theory data (PBE) for PmThPdPb after structural relaxation.

The structure in extended XYZ format:
```
4
Lattice="0.000 3.786 3.786 3.786 0.000 3.786 3.786 3.786 0.000" Properties=species:S:1:pos:R:3 pbc="T T T"
Pm 0.000 0.000 0.000
Th 3.786 3.786 3.786
Pd 5.679 5.679 5.679
Pb 1.893 1.893 1.893
```

Calculated formation energy ... -164 kJ/mol of formula units
Symmetry ... F-43m, No. 216



[10]
Density functional theory data (PBE) for PmYPdPb after structural relaxation.

The structure in extended XYZ format:
```
4
Lattice="0.000 3.734 3.734 3.734 0.000 3.734 3.734 3.734 0.000" Properties=species:S:1:pos:R:3 pbc="T T T"
Pm 0.000 0.000 0.000
Y 3.734 3.734 3.734
Pd 1.867 1.867 1.867
Pb 5.602 5.602 5.602
```

Calculated formation energy ... -236 kJ/mol of formula units
Symmetry ... F-43m, No. 216



[11]
Density functional theory data (PBE) for Pm2Zn2Pd5Pb after structural relaxation.

The structure in extended XYZ format:
```
20
Lattice="9.946 0.000 0.000 0.000 9.946 0.000 0.000 0.000 3.877" Properties=species:S:1:pos:R:3 pbc="T T T"
Pm 1.778 3.195 0.000
Pm 3.195 8.168 0.000
Pm 6.751 1.778 0.000
Pm 8.168 6.751 0.000
Zn 1.161 6.134 0.000
Zn 3.812 1.161 0.000
Zn 6.134 8.785 0.000
Zn 8.785 3.812 0.000
Pd 0.000 4.973 1.938
Pd 0.680 7.807 1.938
Pd 2.139 0.680 1.938
Pd 2.834 5.653 1.938
Pd 4.293 2.834 1.938
Pd 4.973 0.000 1.938
Pd 5.653 7.112 1.938
Pd 7.112 4.293 1.938
Pd 7.807 9.266 1.938
Pd 9.266 2.139 1.938
Pb 0.000 0.000 0.000
Pb 4.973 4.973 0.000
```

Calculated formation energy ... -608 kJ/mol of formula units
Symmetry ... P4/mbm, No. 127



[12]
Density functional theory data (PBE) for PrPd2Pb after structural relaxation.

The structure in extended XYZ format:
```
4
Lattice="3.650 0.000 0.000 0.000 3.650 0.000 0.000 0.000 6.822" Properties=species:S:1:pos:R:3 pbc="T T T"
Pr 0.000 0.000 0.000
Pd 1.825 1.825 1.713
Pd 1.825 1.825 5.109
Pb 0.000 0.000 3.411
```

Calculated formation energy ... -192 kJ/mol of formula units
Symmetry ... P4/mmm, No. 123



[13]
Density functional theory data (PBE) for Pr8PdPb2 after structural relaxation.

The structure in extended XYZ format:
```
11
Lattice="10.024 -2.593 0.000 10.024 2.593 0.000 -1.785 0.000 6.882" Properties=species:S:1:pos:R:3 pbc="T T T"
Pr -0.208 0.000 1.917
Pr 2.823 0.000 5.674
Pr 6.181 0.000 3.422
Pr 8.153 0.000 0.174
Pr 10.109 0.000 6.708
Pr 12.082 0.000 3.460
Pr 15.439 0.000 1.208
Pr 18.470 0.000 4.965
Pd 9.131 0.000 3.441
Pb 3.176 0.000 1.794
Pb 15.087 0.000 5.088
```

Calculated formation energy ... -356 kJ/mol of formula units
Symmetry ... C2/m, No. 12



[14]
Density functional theory data (PBE) for Pr2Pd5Pb3 after structural relaxation.

The structure in extended XYZ format:
```
20
Lattice="-6.064 6.099 3.126 6.064 -6.099 3.126 6.064 6.099 -3.126" Properties=species:S:1:pos:R:3 pbc="T T T"
Pr 2.784 1.521 0.000
Pr 2.784 -1.521 3.126
Pr 3.280 7.620 0.000
Pr 3.280 4.578 3.126
Pd 6.064 -2.763 1.563
Pd 8.012 1.411 0.000
Pd 0.000 0.000 1.563
Pd 1.948 4.688 0.000
Pd 6.064 2.763 1.563
Pd 0.000 3.336 1.563
Pd 4.116 1.411 3.126
Pd 0.000 0.000 4.689
Pd -1.948 4.688 3.126
Pd 0.000 8.862 1.563
Pb 4.599 -4.404 3.126
Pb 6.064 0.000 1.563
Pb 4.599 4.404 0.000
Pb 1.465 1.695 3.126
Pb 0.000 6.099 1.563
Pb 1.465 10.504 0.000
```

Calculated formation energy ... -451 kJ/mol of formula units
Symmetry ... Ibam, No. 72



[15]
Density functional theory data (PBE) for Pr4PdPb after structural relaxation.

The structure in extended XYZ format:
```
12
Lattice="4.509 -7.347 0.000 4.509 7.347 0.000 -2.358 0.000 5.560" Properties=species:S:1:pos:R:3 pbc="T T T"
Pr 1.308 4.531 5.158
Pr 1.006 1.128 3.612
Pr 4.174 4.531 3.183
Pr 2.185 -1.128 0.832
Pr 4.475 1.128 4.728
Pr 2.487 -4.531 2.377
Pr 5.654 -1.128 1.948
Pr 5.353 -4.531 0.403
Pd 3.920 7.298 1.390
Pd 2.741 -7.298 4.170
Pb 3.920 1.719 1.390
Pb 2.741 -1.719 4.170
```

Calculated formation energy ... -242 kJ/mol of formula units
Symmetry ... C2/c, No. 15



[16]
Density functional theory data (PBE) for Pr3Pd2Pb3 after structural relaxation.

The structure in extended XYZ format:
```
32
Lattice="8.695 0.000 0.000 0.000 16.153 0.000 0.000 0.000 6.189" Properties=species:S:1:pos:R:3 pbc="T T T"
Pr 0.273 1.786 0.781
Pr 0.273 6.290 0.781
Pr 1.485 4.038 3.961
Pr 2.863 12.115 0.867
Pr 4.075 9.863 3.876
Pr 4.075 14.367 3.876
Pr 4.621 1.786 2.313
Pr 4.621 6.290 2.313
Pr 5.833 4.038 5.322
Pr 7.210 12.115 2.228
Pr 8.422 9.863 5.408
Pr 8.422 14.367 5.408
Pd 0.755 9.926 2.317
Pd 0.755 14.304 2.317
Pd 3.593 1.850 5.412
Pd 3.593 6.227 5.412
Pd 5.103 9.926 0.778
Pd 5.103 14.304 0.778
Pd 7.940 1.850 3.872
Pd 7.940 6.227 3.872
Pb 1.622 12.115 3.909
Pb 1.707 0.589 3.749
Pb 1.707 7.487 3.749
Pb 2.641 8.666 0.654
Pb 2.641 15.564 0.654
Pb 2.725 4.038 0.815
Pb 5.970 12.115 5.374
Pb 6.055 0.589 5.535
Pb 6.055 7.487 5.535
Pb 6.989 8.666 2.440
Pb 6.989 15.564 2.440
Pb 7.073 4.038 2.280
```

Calculated formation energy ... -486 kJ/mol of formula units
Symmetry ... Pnma, No. 62



[17]
Density functional theory data (PBE) for PrPd7Pb3 after structural relaxation.

The structure in extended XYZ format:
```
11
Lattice="4.269 -5.009 0.000 4.269 5.009 0.000 -2.180 0.000 5.375" Properties=species:S:1:pos:R:3 pbc="T T T"
Pr 0.000 0.000 0.000
Pd -1.090 0.000 2.687
Pd 0.965 2.343 4.422
Pd 1.648 0.000 2.464
Pd 5.393 2.343 0.953
Pd 0.965 -2.343 4.422
Pd 4.710 0.000 2.911
Pd 5.393 -2.343 0.953
Pb 3.179 2.310 2.687
Pb 4.269 0.000 0.000
Pb 3.179 -2.310 2.687
```

Calculated formation energy ... -295 kJ/mol of formula units
Symmetry ... C2/m, No. 12



[18]
Density functional theory data (PBE) for Pr12Pd6Pb after structural relaxation.

The structure in extended XYZ format:
```
19
Lattice="-5.216 5.216 5.216 5.216 -5.216 5.216 5.216 5.216 -5.216" Properties=species:S:1:pos:R:3 pbc="T T T"
Pr 5.216 3.293 -2.072
Pr 3.144 0.000 1.923
Pr 7.288 0.000 1.923
Pr 1.923 3.144 0.000
Pr 3.293 -2.072 5.216
Pr 0.000 1.923 3.144
Pr 5.216 3.293 2.072
Pr 1.923 7.288 0.000
Pr 3.293 2.072 5.216
Pr -2.072 5.216 3.293
Pr 2.072 5.216 3.293
Pr 0.000 1.923 7.288
Pd 5.216 1.380 0.000
Pd 5.216 0.000 3.836
Pd 3.836 5.216 0.000
Pd 1.380 0.000 5.216
Pd 0.000 5.216 1.380
Pd 0.000 3.836 5.216
Pb 0.000 0.000 0.000
```

Calculated formation energy ... -981 kJ/mol of formula units
Symmetry ... Im-3, No. 204



[19]
Density functional theory data (PBE) for Pr4PdPb after structural relaxation.

The structure in extended XYZ format:
```
12
Lattice="6.005 0.000 0.000 0.000 7.194 0.000 -1.564 0.000 8.706" Properties=species:S:1:pos:R:3 pbc="T T T"
Pr 0.700 1.798 0.470
Pr 0.584 5.395 3.232
Pr 0.888 3.666 6.649
Pr 0.888 7.124 6.649
Pr 3.553 0.069 2.056
Pr 3.553 3.528 2.056
Pr 3.857 1.798 5.474
Pr 3.741 5.395 8.236
Pd 2.000 5.395 0.437
Pd 2.441 1.798 8.269
Pb 0.753 1.798 3.719
Pb 3.688 5.395 4.987
```

Calculated formation energy ... -244 kJ/mol of formula units
Symmetry ... P2_1/m, No. 11



[20]
Density functional theory data (PBE) for PrPd12Pb3 after structural relaxation.

The structure in extended XYZ format:
```
16
Lattice="4.146 0.000 0.000 0.000 4.146 0.000 0.000 0.000 16.494" Properties=species:S:1:pos:R:3 pbc="T T T"
Pr 0.000 0.000 0.000
Pd 0.000 2.073 2.155
Pd 0.000 2.073 6.210
Pd 0.000 2.073 10.284
Pd 0.000 2.073 14.338
Pd 2.073 0.000 2.155
Pd 2.073 0.000 6.210
Pd 2.073 0.000 10.284
Pd 2.073 0.000 14.338
Pd 2.073 2.073 0.000
Pd 2.073 2.073 4.188
Pd 2.073 2.073 8.247
Pd 2.073 2.073 12.306
Pb 0.000 0.000 4.181
Pb 0.000 0.000 8.247
Pb 0.000 0.000 12.313
```

Calculated formation energy ... -616 kJ/mol of formula units
Symmetry ... P4/mmm, No. 123



[21]
Density functional theory data (PBE) for Pr2Pd6Pb after structural relaxation.

The structure in extended XYZ format:
```
9
Lattice="5.081 -2.933 0.000 5.081 2.933 0.000 -0.003 0.000 6.230" Properties=species:S:1:pos:R:3 pbc="T T T"
Pr 1.704 0.000 1.902
Pr 8.455 0.000 4.328
Pd 4.189 1.558 1.071
Pd 5.970 1.558 5.159
Pd 3.278 0.000 5.151
Pd 6.881 0.000 1.079
Pd 4.189 -1.558 1.071
Pd 5.970 -1.558 5.159
Pb 5.079 0.000 3.115
```

Calculated formation energy ... -541 kJ/mol of formula units
Symmetry ... C2/m, No. 12